{"formula": "Na2AcNiO4", "functional": "PBE+U", "state": "relaxed", "dft_energy_ev_per_atom": -5.3832, "rho_g_cm3": 5.9, "sg": "No. 119", "cell": [[-4.374, 0.281, -2.928], [0.974, -4.843, 1.838], [-0.277, 2.823, 4.442]], "species": ["Na", "Na", "Ac", "Ni", "O", "O", "O", "O"], "frac_coords": [[0.500, 0.750, 0.250], [0.000, 0.000, 0.000], [0.500, 0.250, 0.750], [0.000, 0.500, 0.500], [0.549, 0.275, 0.275], [0.000, 0.274, 0.725], [0.000, 0.725, 0.274], [0.451, 0.726, 0.726]]}